No. 1
The following is a GGA-PBE calculation of K2ZnHgCl6 after structural relaxation, from Alexandria.

Geometry as CIF:
```
data_K2ZnHgCl6
_symmetry_space_group_name_H-M 'P 1'
_symmetry_Int_Tables_number 1
_cell_length_a 6.8385
_cell_length_b 7.1064
_cell_length_c 7.6592
_cell_angle_alpha 63.91
_cell_angle_beta 63.77
_cell_angle_gamma 63.24
loop_
_symmetry_equiv_pos_as_xyz
'x,y,z'
loop_
_atom_site_label
_atom_site_type_symbol
_atom_site_fract_x
_atom_site_fract_y
_atom_site_fract_z
K1 K 0.0000 0.0000 0.0000
K2 K 0.4627 0.4417 0.5918
Zn1 Zn 0.7319 0.7213 0.7951
Hg1 Hg 0.2315 0.2206 0.2960
Cl1 Cl 0.0084 0.5613 0.9667
Cl2 Cl 0.4543 0.8805 0.6249
Cl3 Cl 0.4876 0.4290 0.1661
Cl4 Cl 0.5283 0.0039 0.9654
Cl5 Cl 0.9346 0.4379 0.6260
Cl6 Cl 0.9750 0.0124 0.4258
```

Properties
N(E_F)	0.00	states/eV per atom
spin magnetization	0.0	Bohr magnetons per cell
uncorrected energy	-27.6	eV for the cell shown
energy relative to the elements, uncorrected	-12.76	eV/f.u.
calculated volume	28.432	Å³/atom
crystal system	triclinic

No. 2
The following is a GGA-PBE calculation of KZn2HgCl after structural relaxation, from Alexandria.

Geometry as CIF:
```
data_KZn2HgCl
_symmetry_space_group_name_H-M 'P 4/m m m'
_symmetry_Int_Tables_number 123
_symmetry_space_group_name_Hall '-P 4 2'
_cell_length_a 5.7171
_cell_length_b 5.7171
_cell_length_c 6.4582
_cell_angle_alpha 90.00
_cell_angle_beta 90.00
_cell_angle_gamma 90.00
loop_
_atom_site_label
_atom_site_type_symbol
_atom_site_fract_x
_atom_site_fract_y
_atom_site_fract_z
K1 K 0.0000 0.0000 0.0000
Zn1 Zn 0.0000 0.5000 0.5000
Hg1 Hg 0.5000 0.5000 0.0000
Cl1 Cl 0.5000 0.5000 0.5000
```

Properties
N(E_F)	0.09	states/eV per atom
spin magnetization	0.0	Bohr magnetons per cell
uncorrected energy	-5.6	eV for the cell shown
energy relative to the elements, uncorrected	0.20	eV/f.u.
calculated volume	42.217	Å³/atom
crystal system	tetragonal

No. 3
The following is a GGA-PBE calculation of KZr2HgCl after structural relaxation, from Alexandria.

Geometry as CIF:
```
data_KZr2HgCl
_symmetry_space_group_name_H-M 'P 4/m m m'
_symmetry_Int_Tables_number 123
_symmetry_space_group_name_Hall '-P 4 2'
_cell_length_a 5.2873
_cell_length_b 5.2873
_cell_length_c 7.4268
_cell_angle_alpha 90.00
_cell_angle_beta 90.00
_cell_angle_gamma 90.00
loop_
_atom_site_label
_atom_site_type_symbol
_atom_site_fract_x
_atom_site_fract_y
_atom_site_fract_z
K1 K 0.0000 0.0000 0.0000
Zr1 Zr 0.0000 0.5000 0.5000
Hg1 Hg 0.5000 0.5000 0.5000
Cl1 Cl 0.5000 0.5000 0.0000
```

Properties
N(E_F)	0.96	states/eV per atom
spin magnetization	1.3	Bohr magnetons per cell
uncorrected energy	-16.6	eV for the cell shown
energy relative to the elements, uncorrected	3.70	eV/f.u.
calculated volume	41.524	Å³/atom
crystal system	tetragonal

No. 4
The following is a GGA-PBE calculation of La2HgCl after structural relaxation, from Alexandria.

Geometry as CIF:
```
data_La2HgCl
_symmetry_space_group_name_H-M 'F m -3 m'
_symmetry_Int_Tables_number 225
_symmetry_space_group_name_Hall '-F 4 2 3'
_cell_length_a 7.6843
_cell_length_b 7.6843
_cell_length_c 7.6843
_cell_angle_alpha 90.00
_cell_angle_beta 90.00
_cell_angle_gamma 90.00
loop_
_atom_site_label
_atom_site_type_symbol
_atom_site_fract_x
_atom_site_fract_y
_atom_site_fract_z
La1 La 0.2500 0.2500 0.2500
Hg1 Hg 0.0000 0.0000 0.0000
Cl1 Cl 0.0000 0.0000 0.5000
```

Properties
N(E_F)	1.74	states/eV per atom
offset from the most stable computed form	0.2125	eV/atom
spin magnetization	0.0	Bohr magnetons per cell
uncorrected energy	-60.5	eV for the cell shown
energy relative to the elements, uncorrected	-3.13	eV/f.u.
calculated volume	28.359	Å³/atom
crystal system	cubic

No. 5
The following is a GGA-PBE calculation of LaHgCl2 after structural relaxation, from Alexandria.

Geometry as CIF:
```
data_LaHgCl2
_symmetry_space_group_name_H-M 'P 4/m m m'
_symmetry_Int_Tables_number 123
_symmetry_space_group_name_Hall '-P 4 2'
_cell_length_a 4.7547
_cell_length_b 4.7547
_cell_length_c 4.4002
_cell_angle_alpha 90.00
_cell_angle_beta 90.00
_cell_angle_gamma 90.00
loop_
_atom_site_label
_atom_site_type_symbol
_atom_site_fract_x
_atom_site_fract_y
_atom_site_fract_z
La1 La 0.0000 0.0000 0.0000
Hg1 Hg 0.5000 0.5000 0.0000
Cl1 Cl 0.0000 0.5000 0.5000
```

Properties
N(E_F)	0.51	states/eV per atom
offset from the most stable computed form	0.2659	eV/atom
spin magnetization	0.0	Bohr magnetons per cell
uncorrected energy	-14.0	eV for the cell shown
energy relative to the elements, uncorrected	-5.13	eV/f.u.
calculated volume	24.869	Å³/atom
crystal system	tetragonal

No. 6
The following is a GGA-PBE calculation of La6Hg2Cl after structural relaxation, from Alexandria.

Geometry as CIF:
```
data_La6Hg2Cl
_symmetry_space_group_name_H-M 'P 1 21/c 1'
_symmetry_Int_Tables_number 14
_cell_length_a 6.8464
_cell_length_b 9.1869
_cell_length_c 10.9480
_cell_angle_alpha 90.00
_cell_angle_beta 122.74
_cell_angle_gamma 90.00
loop_
_symmetry_equiv_pos_as_xyz
'x,y,z'
'-x,-y,-z'
'-x,y+1/2,-z+1/2'
'x,-y+1/2,z+1/2'
loop_
_atom_site_label
_atom_site_type_symbol
_atom_site_fract_x
_atom_site_fract_y
_atom_site_fract_z
La1 La 0.0946 0.1499 0.4648
La2 La 0.3063 0.0410 0.1895
La3 La 0.3198 0.7036 0.4435
Hg1 Hg 0.1743 0.1091 0.7872
Cl1 Cl 0.5000 0.0000 0.5000
```

Properties
N(E_F)	1.15	states/eV per atom
spin magnetization	0.0	Bohr magnetons per cell
uncorrected energy	-73.6	eV for the cell shown
energy relative to the elements, uncorrected	-4.79	eV/f.u.
calculated volume	32.179	Å³/atom
crystal system	monoclinic

No. 7
The following is a GGA-PBE calculation of LaHgCl2 after structural relaxation, from Alexandria.

Geometry as CIF:
```
data_LaHgCl2
_symmetry_space_group_name_H-M 'C m m m'
_symmetry_Int_Tables_number 65
_symmetry_space_group_name_Hall '-C 2 2'
_cell_length_a 6.7057
_cell_length_b 11.4682
_cell_length_c 4.2208
_cell_angle_alpha 90.00
_cell_angle_beta 90.00
_cell_angle_gamma 90.00
loop_
_atom_site_label
_atom_site_type_symbol
_atom_site_fract_x
_atom_site_fract_y
_atom_site_fract_z
La1 La 0.0000 0.0000 0.0000
Hg1 Hg 0.0000 0.5000 0.0000
Cl1 Cl 0.0000 0.1600 0.5000
```

Properties
N(E_F)	0.71	states/eV per atom
offset from the most stable computed form	0.0976	eV/atom
spin magnetization	0.4	Bohr magnetons per cell
uncorrected energy	-29.4	eV for the cell shown
energy relative to the elements, uncorrected	-5.80	eV/f.u.
calculated volume	40.573	Å³/atom
crystal system	orthorhombic

No. 8
The following is a GGA-PBE calculation of La2HgCl after structural relaxation, from Alexandria.

Geometry as CIF:
```
data_La2HgCl
_symmetry_space_group_name_H-M 'C 1 2/m 1'
_symmetry_Int_Tables_number 12
_cell_length_a 7.6220
_cell_length_b 4.3763
_cell_length_c 7.5762
_cell_angle_alpha 90.00
_cell_angle_beta 109.38
_cell_angle_gamma 90.00
loop_
_symmetry_equiv_pos_as_xyz
'x,y,z'
'-x,-y,-z'
'-x,y,-z'
'x,-y,z'
'x+1/2,y+1/2,z'
'-x+1/2,-y+1/2,-z'
'-x+1/2,y+1/2,-z'
'x+1/2,-y+1/2,z'
loop_
_atom_site_label
_atom_site_type_symbol
_atom_site_fract_x
_atom_site_fract_y
_atom_site_fract_z
La1 La 0.2414 0.0000 0.2250
Hg1 Hg 0.0000 0.0000 0.5000
Cl1 Cl 0.0000 0.5000 0.0000
```

Properties
N(E_F)	0.96	states/eV per atom
offset from the most stable computed form	0.0093	eV/atom
spin magnetization	0.0	Bohr magnetons per cell
uncorrected energy	-31.9	eV for the cell shown
energy relative to the elements, uncorrected	-3.94	eV/f.u.
calculated volume	29.799	Å³/atom
crystal system	monoclinic